# VGa2Au | Alexandria | PBE | relaxed
data_VGa2Au
_cell_length_a 7.095
_cell_length_b 7.095
_cell_length_c 5.621
_cell_angle_alpha 90.00
_cell_angle_beta 90.00
_cell_angle_gamma 90.00
_symmetry_space_group_name_H-M 'I -4 2 d'
_symmetry_Int_Tables_number 122
_symmetry_space_group_name_Hall 'I -4 2bw'
loop_
_atom_site_label
_atom_site_type_symbol
_atom_site_fract_x
_atom_site_fract_y
_atom_site_fract_z
V1 V 0.000 0.000 0.000
Ga1 Ga 0.244 0.250 0.625
Au1 Au 0.000 0.000 0.500
# - spin magnetization (μB/f.u.) = 1.9
# - E above lowest polymorph (meV per atom) = 286.3
# - energy relative to the elements (eV per atom) = 0.145
# - E_tot (eV per atom) = -4.468